(1)
The following is a PBE calculation of LaNd4Rh2 after structural relaxation, from the Alexandria database.

Computed properties:
The total magnetic moment comes out at 0.0 Bohr magnetons per cell. The density comes out at 7.56 g/cm³. The value obtained for the total energy is -5.900 eV/atom. The calculated formation energy is -36 kJ/mol of atoms.

Lattice parameters (Å, degrees): 8.0793 6.7518 8.1335 90.00 114.14 90.00
With the nearest neighbours (Å) after each atom.
Positions (direct):
1 La 0.0318 0.2500 0.1575  1 Rh 2.70
2 La 0.9682 0.7500 0.8425  1 Rh 2.70
3 Nd 0.2399 0.5067 0.5926  4 Rh 3.11-3.29, 2 Nd 3.28-3.47
4 Nd 0.2399 0.9933 0.5926  4 Rh 3.11-3.29, 2 Nd 3.28-3.47
5 Nd 0.3380 0.7500 0.2560  2 Rh 2.80-2.97
6 Nd 0.3811 0.2500 0.0116  2 Rh 2.83-2.91
7 Nd 0.6189 0.7500 0.9884  2 Rh 2.83-2.91
8 Nd 0.6620 0.2500 0.7440  2 Rh 2.80-2.97
9 Nd 0.7601 0.0067 0.4074  4 Rh 3.11-3.29, 2 Nd 3.28-3.47
10 Nd 0.7601 0.4933 0.4074  4 Rh 3.11-3.29, 2 Nd 3.28-3.47
11 Rh 0.0081 0.2500 0.7422  4 Nd 2.80-3.11
12 Rh 0.3914 0.2500 0.3638  1 La 2.70, 2 Nd 2.83-2.97
13 Rh 0.6086 0.7500 0.6362  1 La 2.70, 2 Nd 2.83-2.97
14 Rh 0.9919 0.7500 0.2578  4 Nd 2.80-3.11

***

(2)
The following is a PBE calculation of KRbAgHg after structural relaxation, from the Alexandria database.

Computed properties:
The total magnetic moment comes out at 0.0 Bohr magnetons per cell. The density comes out at 3.97 g/cm³. For the energy above the most stable polymorph in this dataset, the calculation gives 0.00 eV per formula unit. The value obtained for the total energy is -1.406 eV/atom. The calculated formation energy is -10 kJ/mol of atoms.

Lattice parameters (Å, degrees): 5.0261 5.0261 8.7662 106.69 106.69 60.05
With the nearest neighbours (Å) after each atom.
Positions (direct):
1 K 0.0000 0.0000 0.0000  3 Hg 3.56-3.57, 3 Ag 3.57
2 Rb 0.8216 0.8216 0.4670  3 Ag 3.72, 3 Hg 3.72-3.73
3 Ag 0.2492 0.2492 0.7489  3 Hg 2.90
4 Hg 0.5831 0.5831 0.7498  3 Ag 2.90

***

(3)
The following is a PBE calculation of KGaI2 after structural relaxation, from the Alexandria database.

Computed properties:
The total magnetic moment comes out at 0.0 Bohr magnetons per cell. The density comes out at 3.63 g/cm³. For the energy above the most stable polymorph in this dataset, the calculation gives 0.01 eV per formula unit. The value obtained for the total energy is -2.703 eV/atom. The formation energy from raw total energies is -0.90 eV/atom.

Lattice parameters (Å, degrees): 4.8900 4.8900 24.0534 90.00 90.00 120.00
With the nearest neighbours (Å) after each atom.
Positions (direct):
1 K 0.0000 0.3344 0.3333  6 I 3.55
2 K 0.3344 0.0000 0.6667  6 I 3.55
3 K 0.6656 0.6656 0.0000  6 I 3.55
4 Ga 0.0000 0.3330 0.8333  6 I 3.37-3.38
5 Ga 0.3330 0.0000 0.1667  6 I 3.37-3.38
6 Ga 0.6670 0.6670 0.5000  6 I 3.37-3.38
7 I 0.9998 0.3324 0.5772  3 Ga 3.37-3.38, 3 K 3.55
8 I 0.0002 0.3326 0.0895  3 Ga 3.37-3.38, 3 K 3.55
9 I 0.3324 0.9998 0.4228  3 Ga 3.37-3.38, 3 K 3.55
10 I 0.3326 0.0002 0.9105  3 Ga 3.37-3.38, 3 K 3.55
11 I 0.6674 0.6676 0.7561  3 Ga 3.37-3.38, 3 K 3.55
12 I 0.6676 0.6674 0.2439  3 Ga 3.37-3.38, 3 K 3.55

***

(4)
The following is a PBE calculation of SrMg2GaPt after structural relaxation, from the Alexandria database.

Computed properties:
The total magnetic moment comes out at 0.0 Bohr magnetons per cell. The density comes out at 5.25 g/cm³. The value obtained for the total energy is -3.247 eV/atom. The calculated formation energy is -44 kJ/mol of atoms.

Lattice parameters (Å, degrees): 5.0897 5.0897 4.8985 90.00 90.00 90.00
With the nearest neighbours (Å) after each atom.
Positions (direct):
1 Sr 0.0000 0.0000 0.0000  8 Mg 3.53, 4 Ga 3.60
2 Mg 0.0000 0.5000 0.5000  2 Pt 2.54
3 Mg 0.5000 0.0000 0.5000  2 Pt 2.54
4 Ga 0.5000 0.5000 0.0000  2 Pt 2.45
5 Pt 0.5000 0.5000 0.5000  2 Ga 2.45, 4 Mg 2.54

***

(5)
The following is a PBE calculation of Tb2CeNdEr after structural relaxation, from the Alexandria database.

Computed properties:
The total magnetic moment comes out at 3.3 Bohr magnetons per cell. The density comes out at 7.76 g/cm³. The value obtained for the total energy is -4.623 eV/atom. The calculated formation energy is 27 kJ/mol of atoms.

Lattice parameters (Å, degrees): 5.8921 7.7791 7.1874 90.00 90.00 90.00
With the nearest neighbours (Å) after each atom.
Positions (direct):
1 Tb 0.2500 0.2097 0.1797  1 Er 3.08, 1 Tb 3.26
2 Tb 0.2500 0.7903 0.1797  1 Er 3.08, 1 Tb 3.26
3 Tb 0.7500 0.2097 0.8203  1 Er 3.08, 1 Tb 3.26
4 Tb 0.7500 0.7903 0.8203  1 Er 3.08, 1 Tb 3.26
5 Ce 0.0000 0.5000 0.5000  2 Ce 2.95, 2 Er 3.16
6 Ce 0.5000 0.5000 0.5000  2 Ce 2.95, 2 Er 3.16
7 Nd 0.2500 0.0000 0.6629  6 Tb 3.55-3.84, 2 Nd 3.76
8 Nd 0.7500 0.0000 0.3371  6 Tb 3.55-3.84, 2 Nd 3.76
9 Er 0.2500 0.5000 0.8887  2 Tb 3.08, 2 Ce 3.16, 2 Er 3.35
10 Er 0.7500 0.5000 0.1113  2 Tb 3.08, 2 Ce 3.16, 2 Er 3.35

***

(6)
The following is a PBE calculation of CsNaSbS2 after structural relaxation, from the Alexandria database.

Computed properties:
The total magnetic moment comes out at 0.0 Bohr magnetons per cell. The density comes out at 3.68 g/cm³. The value obtained for the total energy is -3.584 eV/atom. The formation energy from raw total energies is -0.67 eV/atom.

Lattice parameters (Å, degrees): 6.0124 8.0007 6.4077 90.00 90.00 90.00
With the nearest neighbours (Å) after each atom.
Positions (direct):
1 Cs 0.2500 0.0000 0.2404  8 S 3.71-4.02
2 Cs 0.7500 0.0000 0.7596  8 S 3.71-4.02
3 Na 0.2500 0.5000 0.4533  2 S 2.72
4 Na 0.7500 0.5000 0.5467  2 S 2.72
5 Sb 0.0000 0.5000 0.0000  4 S 2.79, 2 Sb 3.01
6 Sb 0.5000 0.5000 0.0000  4 S 2.79, 2 Sb 3.01
7 S 0.2500 0.2718 0.7678  1 Na 2.72, 2 Sb 2.79
8 S 0.2500 0.7282 0.7678  1 Na 2.72, 2 Sb 2.79
9 S 0.7500 0.2718 0.2322  1 Na 2.72, 2 Sb 2.79
10 S 0.7500 0.7282 0.2322  1 Na 2.72, 2 Sb 2.79

***

Among the records above, which one has the highest total energy? KRbAgHg